Entry 1:
A plane-wave DFT calculation with PBE was carried out for a geometry-optimized Re2Se structure.

Calculated values
density: 16.149 g cm⁻³
raw formation energy: 0.35 eV per atom
ΔE to the lowest computed polymorph: 275.1 meV/atom
final energy: -9.114 eV per atom

The structure in CIF format:
```
data_Re2Se
_chemical_formula_sum 'Re2 Se1'
_symmetry_space_group_name_H-M 'P 1'
_symmetry_Int_Tables_number 1
_symmetry_space_group_name_Hall 'P 1'
_cell_length_a 2.9037
_cell_length_b 2.9037
_cell_length_c 6.3561
_cell_angle_alpha 90.00
_cell_angle_beta 90.00
_cell_angle_gamma 120.00
loop_
_atom_site_label
_atom_site_fract_x
_atom_site_fract_y
_atom_site_fract_z
Se1 0.0000 0.0000 0.0000
Re1 0.6667 0.3333 0.3380
Re2 0.3333 0.6667 0.6620
```

Entry 2:
A plane-wave DFT calculation with PBE was carried out for a geometry-optimized Na2WCl2 structure.

Calculated values
density: 4.260 g cm⁻³
raw formation energy: 0.17 eV per atom
ΔE to the lowest computed polymorph: 0.0 meV/atom
final energy: -3.690 eV per atom

The structure in CIF format:
```
data_Na2WCl2
_chemical_formula_sum 'Na4 W2 Cl4'
_symmetry_space_group_name_H-M 'P 1'
_symmetry_Int_Tables_number 1
_symmetry_space_group_name_Hall 'P 1'
_cell_length_a 8.4979
_cell_length_b 8.4979
_cell_length_c 3.2469
_cell_angle_alpha 90.00
_cell_angle_beta 90.00
_cell_angle_gamma 90.00
loop_
_atom_site_label
_atom_site_fract_x
_atom_site_fract_y
_atom_site_fract_z
Na1 0.3611 0.8611 0.0000
Na2 0.1389 0.3611 0.0000
Na3 0.6389 0.1389 0.0000
Na4 0.8611 0.6389 0.0000
Cl1 0.1491 0.6491 0.5000
Cl2 0.6491 0.8509 0.5000
Cl3 0.3509 0.1491 0.5000
Cl4 0.8509 0.3509 0.5000
W1 0.0000 0.0000 0.0000
W2 0.5000 0.5000 0.0000
```

Entry 3:
A plane-wave DFT calculation with PBE was carried out for a geometry-optimized Ti12Si6Os structure.

Calculated values
density: 4.946 g cm⁻³
raw formation energy: -0.28 eV per atom
final energy: -7.568 eV per atom

The structure in CIF format:
```
data_Ti12Si6Os
_chemical_formula_sum 'Ti12 Si6 Os1'
_symmetry_space_group_name_H-M 'P 1'
_symmetry_Int_Tables_number 1
_symmetry_space_group_name_Hall 'P 1'
_cell_length_a 7.1959
_cell_length_b 7.1959
_cell_length_c 7.1959
_cell_angle_alpha 106.64
_cell_angle_beta 106.64
_cell_angle_gamma 106.64
loop_
_atom_site_label
_atom_site_fract_x
_atom_site_fract_y
_atom_site_fract_z
Si1 0.3462 0.6518 0.7588
Si2 0.2412 0.6538 0.3482
Si3 0.6538 0.3482 0.2412
Si4 0.7588 0.3462 0.6518
Si5 0.6518 0.7588 0.3462
Si6 0.3482 0.2412 0.6538
Ti1 0.0837 0.6693 0.9462
Ti2 0.9722 0.6816 0.5562
Ti3 0.9163 0.3307 0.0538
Ti4 0.0538 0.9163 0.3307
Ti5 0.9462 0.0837 0.6693
Ti6 0.3184 0.4438 0.0278
Ti7 0.0278 0.3184 0.4438
Ti8 0.6693 0.9462 0.0837
Ti9 0.5562 0.9722 0.6816
Ti10 0.4438 0.0278 0.3184
Ti11 0.6816 0.5562 0.9722
Ti12 0.3307 0.0538 0.9163
Os1 0.0000 0.0000 0.0000
```

Entry 4:
A plane-wave DFT calculation with PBE was carried out for a geometry-optimized Mg3Cu2Se7 structure.

Calculated values
density: 4.172 g cm⁻³
raw formation energy: 0.06 eV per atom
ΔE to the lowest computed polymorph: 59.0 meV/atom
final energy: -3.054 eV per atom

The structure in CIF format:
```
data_Mg3Cu2Se7
_chemical_formula_sum 'Mg3 Cu2 Se7'
_symmetry_space_group_name_H-M 'P 1'
_symmetry_Int_Tables_number 1
_symmetry_space_group_name_Hall 'P 1'
_cell_length_a 12.9435
_cell_length_b 12.9435
_cell_length_c 12.9435
_cell_angle_alpha 23.37
_cell_angle_beta 23.37
_cell_angle_gamma 23.37
loop_
_atom_site_label
_atom_site_fract_x
_atom_site_fract_y
_atom_site_fract_z
Se1 0.4296 0.9237 0.4296
Se2 0.9237 0.4296 0.4296
Se3 0.5704 0.0763 0.5704
Se4 0.4296 0.4296 0.9237
Se5 0.5000 0.5000 0.5000
Se6 0.5704 0.5704 0.0763
Se7 0.0763 0.5704 0.5704
Cu1 0.3178 0.3178 0.3178
Cu2 0.6822 0.6822 0.6822
Mg1 0.0000 0.0000 0.0000
Mg2 0.8043 0.8043 0.8043
Mg3 0.1957 0.1957 0.1957
```

Entry 5:
A plane-wave DFT calculation with PBE was carried out for a geometry-optimized Zn2CoI2 structure.

Calculated values
density: 5.780 g cm⁻³
raw formation energy: 0.51 eV per atom
ΔE to the lowest computed polymorph: 0.0 meV/atom
final energy: -2.044 eV per atom

The structure in CIF format:
```
data_Zn2CoI2
_chemical_formula_sum 'Zn2 Co1 I2'
_symmetry_space_group_name_H-M 'P 1'
_symmetry_Int_Tables_number 1
_symmetry_space_group_name_Hall 'P 1'
_cell_length_a 5.7934
_cell_length_b 5.7934
_cell_length_c 5.5853
_cell_angle_alpha 58.76
_cell_angle_beta 58.76
_cell_angle_gamma 90.00
loop_
_atom_site_label
_atom_site_fract_x
_atom_site_fract_y
_atom_site_fract_z
Co1 0.0000 0.0000 0.0000
Zn1 0.6597 0.6597 0.6806
Zn2 0.3403 0.3403 0.3194
I1 0.2500 0.7500 0.5000
I2 0.7500 0.2500 0.5000
```

Entry 6:
A plane-wave DFT calculation with PBE was carried out for a geometry-optimized Pa4Si6W7 structure.

Calculated values
density: 13.012 g cm⁻³
raw formation energy: -0.25 eV per atom
final energy: -9.731 eV per atom

The structure in CIF format:
```
data_Pa4Si6W7
_chemical_formula_sum 'Pa4 Si6 W7'
_symmetry_space_group_name_H-M 'P 1'
_symmetry_Int_Tables_number 1
_symmetry_space_group_name_Hall 'P 1'
_cell_length_a 7.3340
_cell_length_b 7.3340
_cell_length_c 7.3340
_cell_angle_alpha 109.47
_cell_angle_beta 109.47
_cell_angle_gamma 109.47
loop_
_atom_site_label
_atom_site_fract_x
_atom_site_fract_y
_atom_site_fract_z
Pa1 0.0000 0.5000 0.0000
Pa2 0.5000 0.0000 0.0000
Pa3 0.0000 0.0000 0.5000
Pa4 0.5000 0.5000 0.5000
W1 0.7500 0.5000 0.2500
W2 0.5000 0.7500 0.2500
W3 0.0000 0.0000 0.0000
W4 0.2500 0.7500 0.5000
W5 0.2500 0.5000 0.7500
W6 0.5000 0.2500 0.7500
W7 0.7500 0.2500 0.5000
Si1 0.6923 0.6923 0.0000
Si2 0.0000 0.6923 0.6923
Si3 0.0000 0.3077 0.3077
Si4 0.6923 0.0000 0.6923
Si5 0.3077 0.3077 0.0000
Si6 0.3077 0.0000 0.3077
```

Entry 7:
A plane-wave DFT calculation with PBE was carried out for a geometry-optimized Si2NiCl structure.

Calculated values
density: 3.805 g cm⁻³
raw formation energy: 0.47 eV per atom
ΔE to the lowest computed polymorph: 796.4 meV/atom
final energy: -4.147 eV per atom

The structure in CIF format:
```
data_Si2NiCl
_chemical_formula_sum 'Si2 Ni1 Cl1'
_symmetry_space_group_name_H-M 'P 1'
_symmetry_Int_Tables_number 1
_symmetry_space_group_name_Hall 'P 1'
_cell_length_a 5.5895
_cell_length_b 3.4259
_cell_length_c 3.4259
_cell_angle_alpha 90.00
_cell_angle_beta 90.00
_cell_angle_gamma 90.00
loop_
_atom_site_label
_atom_site_fract_x
_atom_site_fract_y
_atom_site_fract_z
Si1 0.0000 0.0000 0.0000
Si2 0.0000 0.5000 0.5000
Ni1 0.5000 0.0000 0.5000
Cl1 0.5000 0.5000 0.0000
```

Entry 8:
A plane-wave DFT calculation with PBE was carried out for a geometry-optimized SrLi2CaCu structure.

Calculated values
density: 2.266 g cm⁻³
ΔE to the lowest computed polymorph: 0.0 meV/atom
final energy: -2.201 eV per atom
calculated formation energy: 0.12 eV/atom

The structure in CIF format:
```
data_SrLi2CaCu
_chemical_formula_sum 'Sr1 Li2 Ca1 Cu1'
_symmetry_space_group_name_H-M 'P 1'
_symmetry_Int_Tables_number 1
_symmetry_space_group_name_Hall 'P 1'
_cell_length_a 5.2608
_cell_length_b 5.2608
_cell_length_c 5.4322
_cell_angle_alpha 90.00
_cell_angle_beta 90.00
_cell_angle_gamma 90.00
loop_
_atom_site_label
_atom_site_fract_x
_atom_site_fract_y
_atom_site_fract_z
Li1 0.0000 0.5000 0.0000
Li2 0.5000 0.0000 0.0000
Ca1 0.0000 0.0000 0.5000
Cu1 0.0000 0.0000 0.0000
Sr1 0.5000 0.5000 0.5000
```